[1]
{
  "formula": "Ru2PbBr",
  "functional": "PBE",
  "state": "relaxed",
  "lattice_angstrom": [[-2.281, 1.372, 3.762], [0.553, 0.310, 4.565], [1.777, 5.334, 0.781]],
  "species": ["Ru", "Ru", "Pb", "Br"],
  "frac_coords": [[0.496, 0.496, 0.451], [0.004, 0.004, 0.049], [0.750, 0.750, 0.750], [0.250, 0.250, 0.250]],
  "dos_ef_per_ev_fu": 3.956,
  "e_form_raw_mev_per_atom": 746,
  "e_above_lowest_polymorph_mev_per_atom": 432,
  "magnetic_moment_mub_per_cell": 0.0,
  "spacegroup": "C2/m"
}

=====

[2]
{
  "formula": "Ru2PbBr",
  "functional": "PBE",
  "state": "relaxed",
  "lattice_angstrom": [[6.651, 0.025, -0.003], [4.512, 4.886, 0.003], [-5.204, -3.314, 2.485]],
  "species": ["Ru", "Br", "Pb", "Ru"],
  "frac_coords": [[0.807, 0.307, 0.500], [0.497, 0.497, 0.000], [0.216, 0.716, 0.500], [0.980, 0.980, 0.000]],
  "dos_ef_per_ev_fu": 5.434,
  "e_form_raw_mev_per_atom": 714,
  "e_above_lowest_polymorph_mev_per_atom": 400,
  "magnetic_moment_mub_per_cell": 0.0,
  "spacegroup": "Imm2"
}

=====

[3]
{
  "formula": "Ru2PbBr",
  "functional": "PBE",
  "state": "relaxed",
  "lattice_angstrom": [[5.582, 0.031, 0.000], [2.776, 4.843, 0.000], [-4.179, -2.437, 2.785]],
  "species": ["Ru", "Pb", "Ru", "Br"],
  "frac_coords": [[0.000, 0.000, 0.000], [0.750, 0.250, 0.500], [0.250, 0.750, 0.500], [0.500, 0.500, 0.000]],
  "dos_ef_per_ev_fu": 5.706,
  "e_form_raw_mev_per_atom": 976,
  "e_above_lowest_polymorph_mev_per_atom": 662,
  "magnetic_moment_mub_per_cell": 2.0,
  "spacegroup": "I-4m2"
}

=====

[4]
{
  "formula": "RuPbBr3",
  "functional": "PBE",
  "state": "relaxed",
  "lattice_angstrom": [[5.090, 0.000, 0.000], [0.000, 5.090, 0.000], [0.000, 0.000, 5.090]],
  "species": ["Br", "Br", "Ru", "Br", "Pb"],
  "frac_coords": [[0.000, 0.000, 0.500], [0.000, 0.500, 0.000], [0.000, 0.000, 0.000], [0.500, 0.000, 0.000], [0.500, 0.500, 0.500]],
  "dos_ef_per_ev_fu": 3.140,
  "e_form_raw_mev_per_atom": 27,
  "e_above_lowest_polymorph_mev_per_atom": 0,
  "magnetic_moment_mub_per_cell": 0.0,
  "spacegroup": "Pm-3m"
}

=====

[5]
{
  "formula": "Ru2PbBr",
  "functional": "PBE",
  "state": "relaxed",
  "lattice_angstrom": [[-2.237, -1.118, -1.719], [2.072, -0.868, -2.131], [1.920, -8.563, 3.071]],
  "species": ["Ru", "Pb", "Ru", "Br"],
  "frac_coords": [[0.500, 0.457, 0.209], [0.500, 0.659, 0.813], [0.000, 0.039, 0.049], [0.000, 0.345, 0.430]],
  "dos_ef_per_ev_fu": 2.197,
  "e_form_raw_mev_per_atom": 314,
  "e_above_lowest_polymorph_mev_per_atom": 0,
  "magnetic_moment_mub_per_cell": 0.0,
  "spacegroup": "Pm"
}

=====

[6]
{
  "formula": "RuPbSe2Br",
  "functional": "PBE",
  "state": "relaxed",
  "lattice_angstrom": [[-1.809, -3.551, 2.893], [4.578, -1.495, 1.028], [0.143, 3.214, 4.035]],
  "species": ["Se", "Pb", "Ru", "Br", "Se"],
  "frac_coords": [[0.000, 0.500, 0.000], [0.500, 0.500, 0.500], [0.000, 0.000, 0.000], [0.000, 0.000, 0.500], [0.500, 0.000, 0.000]],
  "dos_ef_per_ev_fu": 5.318,
  "e_form_raw_mev_per_atom": 47,
  "e_above_lowest_polymorph_mev_per_atom": 0,
  "magnetic_moment_mub_per_cell": 0.9,
  "spacegroup": "P4/mmm"
}

=====

[7]
{
  "formula": "Sn2RuPbBr",
  "functional": "PBE",
  "state": "relaxed",
  "lattice_angstrom": [[-2.258, -3.174, 3.345], [3.685, -3.480, -0.815], [2.915, 2.149, 4.007]],
  "species": ["Sn", "Ru", "Sn", "Pb", "Br"],
  "frac_coords": [[0.500, 0.000, 0.000], [0.000, 0.000, 0.000], [0.000, 0.500, 0.000], [0.000, 0.000, 0.500], [0.500, 0.500, 0.500]],
  "dos_ef_per_ev_fu": 3.939,
  "e_form_raw_mev_per_atom": -127,
  "e_above_lowest_polymorph_mev_per_atom": 0,
  "magnetic_moment_mub_per_cell": 0.0,
  "spacegroup": "P4/mmm"
}

=====

[8]
{
  "formula": "Sn2RuPbBr",
  "functional": "PBE",
  "state": "relaxed",
  "lattice_angstrom": [[5.784, 0.000, 0.000], [0.000, 5.306, 0.000], [0.000, 0.000, 5.784]],
  "species": ["Ru", "Sn", "Sn", "Pb", "Br"],
  "frac_coords": [[0.000, 0.500, 0.000], [0.000, 0.000, 0.500], [0.500, 0.000, 0.000], [0.000, 0.000, 0.000], [0.500, 0.500, 0.500]],
  "dos_ef_per_ev_fu": 3.685,
  "e_form_raw_mev_per_atom": 1050,
  "e_above_lowest_polymorph_mev_per_atom": 1177,
  "magnetic_moment_mub_per_cell": 2.4,
  "spacegroup": "P4/mmm"
}

=====

[9]
{
  "formula": "Pb2SBr",
  "functional": "PBE",
  "state": "relaxed",
  "lattice_angstrom": [[-5.171, -1.043, 0.549], [-2.175, -0.155, 4.834], [-3.329, 3.832, 1.534]],
  "species": ["S", "Br", "Pb", "Pb"],
  "frac_coords": [[0.000, 0.000, 0.000], [0.500, 0.500, 0.500], [0.750, 0.750, 0.750], [0.250, 0.250, 0.250]],
  "dos_ef_per_ev_fu": 1.544,
  "e_form_raw_mev_per_atom": -318,
  "e_above_lowest_polymorph_mev_per_atom": 171,
  "magnetic_moment_mub_per_cell": 0.0,
  "spacegroup": "Fm-3m"
}

=====

[10]
{
  "formula": "PbSBr",
  "functional": "PBE",
  "state": "relaxed",
  "lattice_angstrom": [[-6.699, 0.625, -2.504], [-0.241, -6.937, -1.832], [0.741, 1.435, 9.043]],
  "species": ["Pb", "S", "Pb", "S", "S", "Br", "Br", "Pb", "Pb", "S", "Br", "Br"],
  "frac_coords": [[0.259, 0.259, 0.000], [0.125, 0.375, 0.250], [0.509, 0.009, 0.500], [0.125, 0.875, 0.250], [0.125, 0.875, 0.750], [0.619, 0.119, 0.237], [0.881, 0.381, 0.763], [0.741, 0.741, 0.000], [0.991, 0.491, 0.500], [0.625, 0.875, 0.750], [0.631, 0.631, 0.263], [0.369, 0.369, 0.737]],
  "dos_ef_per_ev_fu": 1.720,
  "e_form_raw_mev_per_atom": -185,
  "e_above_lowest_polymorph_mev_per_atom": 428,
  "magnetic_moment_mub_per_cell": 0.0,
  "spacegroup": "Fddd"
}

=====

[11]
{
  "formula": "Pb2S2Br",
  "functional": "PBE",
  "state": "relaxed",
  "lattice_angstrom": [[7.323, -0.012, 0.444], [3.669, 6.496, 0.214], [4.427, 0.002, 6.961]],
  "species": ["S", "Pb", "Pb", "S", "Pb", "S", "Pb", "Br", "Br", "S"],
  "frac_coords": [[0.198, 0.104, 0.250], [0.398, 0.796, 0.983], [0.602, 0.204, 0.017], [0.802, 0.896, 0.750], [0.305, 0.796, 0.517], [0.500, 0.499, 0.750], [0.695, 0.204, 0.483], [0.825, 0.850, 0.250], [0.175, 0.150, 0.750], [0.500, 0.501, 0.250]],
  "dos_ef_per_ev_fu": 3.080,
  "e_form_raw_mev_per_atom": -423,
  "magnetic_moment_mub_per_cell": 0.0,
  "spacegroup": "C2/c"
}

=====

[12]
{
  "formula": "PbSBr3",
  "functional": "PBE",
  "state": "relaxed",
  "lattice_angstrom": [[-5.156, 0.562, 0.963], [0.742, -1.670, 4.949], [0.832, 4.972, 1.553]],
  "species": ["Pb", "S", "Br", "Br", "Br"],
  "frac_coords": [[0.500, 0.500, 0.500], [0.000, 0.000, 0.000], [0.000, 0.500, 0.000], [0.000, 0.000, 0.500], [0.500, 0.000, 0.000]],
  "dos_ef_per_ev_fu": 4.060,
  "e_form_raw_mev_per_atom": 50,
  "e_above_lowest_polymorph_mev_per_atom": 0,
  "magnetic_moment_mub_per_cell": 0.0,
  "spacegroup": "Pm-3m"
}